Entry 1:
# YGa2Ni2Pt | Alexandria via LeMat-Bulk | PBE | relaxed
# DFT formation energy: -0.13 eV per atom
data_YGa2Ni2Pt
_chemical_formula_sum 'Y1 Ga2 Ni2 Pt1'
_space_group_name_H-M_alt 'P 4/m m m'
_space_group_IT_number 123
_space_group_name_Hall '-P 4 2'
_cell_length_a 4.684
_cell_length_b 4.684
_cell_length_c 5.348
_cell_angle_alpha 90.00
_cell_angle_beta 90.00
_cell_angle_gamma 90.00
loop_
_atom_site_label
_atom_site_type_symbol
_atom_site_fract_x
_atom_site_fract_y
_atom_site_fract_z
_atom_site_occupancy
Y1 Y 0.000 0.000 0.000 1
Ga1 Ga 0.000 0.500 0.500 1
Ni1 Ni 0.500 0.500 0.240 1
Pt1 Pt 0.000 0.000 0.500 1

---

Entry 2:
# Na2CdSb3Au4 | Alexandria via LeMat-Bulk | PBE | relaxed
# E_form (uncorrected): -231 meV per atom
data_Na2CdSb3Au4
_chemical_formula_sum 'Na2 Cd1 Sb3 Au4'
_space_group_name_H-M_alt 'P -4 m 2'
_space_group_IT_number 115
_cell_length_a 4.649
_cell_length_b 4.649
_cell_length_c 11.724
_cell_angle_alpha 90.00
_cell_angle_beta 90.00
_cell_angle_gamma 90.00
loop_
_space_group_symop_operation_xyz
'x,y,z'
'y,-x,-z'
'-x,-y,z'
'-y,x,-z'
'-x,y,z'
'-y,-x,-z'
'x,-y,z'
'y,x,-z'
loop_
_atom_site_label
_atom_site_type_symbol
_atom_site_fract_x
_atom_site_fract_y
_atom_site_fract_z
_atom_site_occupancy
Na1 Na 0.000 0.500 0.231 1
Cd1 Cd 0.000 0.000 0.500 1
Sb1 Sb 0.000 0.500 0.866 1
Sb2 Sb 0.500 0.500 0.500 1
Au1 Au 0.000 0.000 0.000 1
Au2 Au 0.000 0.500 0.639 1
Au3 Au 0.500 0.500 0.000 1

---

Number 1: total moment 0.0 μB per cell, DOS at the Fermi energy 0.404 states/eV/atom, total DFT energy (no corrections) -30.89 eV for the cell shown. Number 2: total moment 0.0 μB per cell, DOS at the Fermi energy 0.323 states/eV/atom, total DFT energy (no corrections) -31.34 eV for the cell shown.